Record 1
## LuCo (PBE)

Data for LuCo after structural relaxation.

Calculated values
Crystal system: hexagonal
Formation energy in eV per atom: 0.148
Calculated volume in A^3/atom: 18.54

```
LuCo
1.0
3.385 0.000 0.000
-1.693 2.932 0.000
0.000 0.000 3.736
Co Lu
1 1
direct
0.667 0.333 0.750
0.333 0.667 0.250
```

=====

Record 2
## PmYNO (PBE)

Data for PmYNO after structural relaxation.

Calculated values
Crystal system: orthorhombic
Calculated volume in A^3/atom: 17.31
E above lowest polymorph in meV per atom: 62

```
PmYNO
1.0
-4.844 -1.849 -4.327
0.228 -7.606 2.995
-3.492 1.228 3.384
N O Pm Y
4 4 4 4
direct
0.424 0.380 0.051
0.924 0.620 0.051
0.076 0.380 0.551
0.576 0.620 0.551
0.911 0.140 0.051
0.411 0.860 0.051
0.589 0.140 0.551
0.089 0.860 0.551
0.570 0.124 0.051
0.070 0.876 0.051
0.930 0.124 0.551
0.430 0.876 0.551
0.085 0.377 0.050
0.585 0.623 0.050
0.415 0.377 0.550
0.915 0.623 0.550
```

=====

Record 3
## LuAlCuOs (PBE)

Data for LuAlCuOs after structural relaxation.

Calculated values
Crystal system: cubic
Calculated volume in A^3/atom: 16.16
E above lowest polymorph in meV per atom: 0

```
LuAlCuOs
1.0
0.000 3.185 3.185
3.185 0.000 3.185
3.185 3.185 0.000
Al Cu Lu Os
1 1 1 1
direct
0.000 0.000 0.000
0.750 0.750 0.750
0.500 0.500 0.500
0.250 0.250 0.250
```

=====

Record 4
## Dy2HoGa3Si2Ni (PBE)

Data for Dy2HoGa3Si2Ni after structural relaxation.

Calculated values
Crystal system: orthorhombic
Calculated volume in A^3/atom: 18.77
Electronic total energy in eV/atom: -5.06

```
Dy2HoGa3Si2Ni
1.0
4.143 0.000 0.000
0.000 5.940 3.433
0.000 -5.940 3.433
Dy Ga Ho Ni Si
2 3 1 1 2
direct
0.000 0.000 0.596
0.000 0.596 0.000
0.500 0.236 0.000
0.500 0.000 0.236
0.500 0.764 0.764
0.000 0.403 0.403
0.000 0.001 0.001
0.500 0.666 0.334
0.500 0.334 0.666
```

=====

Record 5
## CdCuNiPb (PBE)

Data for CdCuNiPb after structural relaxation.

Calculated values
Crystal system: cubic
Calculated volume in A^3/atom: 17.33
E above lowest polymorph in meV per atom: 0

```
CdCuNiPb
1.0
-0.762 -4.317 -1.429
0.353 -3.508 2.971
-3.784 -2.249 1.372
Cd Cu Ni Pb
1 1 1 1
direct
0.500 0.500 0.500
0.750 0.750 0.750
0.250 0.250 0.250
0.000 0.000 0.000
```

=====

Record 6
## NaTlFeTe (PBE)

Data for NaTlFeTe after structural relaxation.

Calculated values
Crystal system: cubic
Calculated volume in A^3/atom: 26.74
E above lowest polymorph in meV per atom: 216

```
NaTlFeTe
1.0
0.000 3.768 3.768
3.768 0.000 3.768
3.768 3.768 0.000
Fe Na Te Tl
1 1 1 1
direct
0.500 0.500 0.500
0.750 0.750 0.750
0.000 0.000 0.000
0.250 0.250 0.250
```

=====

Record 7
## PaBeAg (PBE)

Data for PaBeAg after structural relaxation.

Calculated values
Crystal system: cubic
Calculated volume in A^3/atom: 20.11
E above lowest polymorph in meV per atom: 0

```
PaBeAg
1.0
0.000 3.113 3.113
3.113 0.000 3.113
3.113 3.113 0.000
Ag Be Pa
1 1 1
direct
0.250 0.250 0.250
0.000 0.000 0.000
0.750 0.750 0.750
```

=====

Record 8
## Na2OsBr6 (PBE)

Data for Na2OsBr6 after structural relaxation.

Calculated values
Crystal system: tetragonal
Calculated volume in A^3/atom: 29.51
E above lowest polymorph in meV per atom: 41

```
Na2OsBr6
1.0
-3.721 3.721 4.795
3.721 -3.721 4.795
3.721 3.721 -4.795
Br Na Os
6 2 1
direct
0.763 0.237 0.000
0.258 0.258 0.000
0.742 0.742 0.000
0.237 0.763 0.000
0.237 0.237 0.475
0.763 0.763 0.525
0.750 0.250 0.500
0.250 0.750 0.500
0.000 0.000 0.000
```

=====

Record 9
## ReBiB (PBE)

Data for ReBiB after structural relaxation.

Calculated values
Crystal system: cubic
Calculated volume in A^3/atom: 16.70
E above lowest polymorph in meV per atom: 0

```
ReBiB
1.0
0.000 2.926 2.926
2.926 0.000 2.926
2.926 2.926 0.000
B Bi Re
1 1 1
direct
0.000 0.000 0.000
0.250 0.250 0.250
0.750 0.750 0.750
```

=====

Record 10
## DyTmMg (PBE)

Data for DyTmMg after structural relaxation.

Calculated values
Crystal system: cubic
Calculated volume in A^3/atom: 33.06
E above lowest polymorph in meV per atom: 491

```
DyTmMg
1.0
0.000 3.674 3.674
3.674 0.000 3.674
3.674 3.674 0.000
Dy Mg Tm
1 1 1
direct
0.250 0.250 0.250
0.000 0.000 0.000
0.750 0.750 0.750
```

=====

Record 11
## ZnBr2 (PBE)

Data for ZnBr2 after structural relaxation.

Calculated values
Crystal system: tetragonal
Calculated volume in A^3/atom: 30.87
Electronic total energy in eV/atom: -2.42

```
ZnBr2
1.0
2.470 6.835 11.684
-8.447 10.860 0.170
-2.695 -13.328 -2.104
Br Zn
32 16
direct
0.129 0.129 0.000
0.371 0.371 0.000
0.629 0.629 0.000
0.871 0.871 0.000
0.125 0.640 0.015
0.390 0.875 0.015
0.986 0.246 0.233
0.747 0.487 0.233
0.503 0.236 0.240
0.237 0.504 0.240
0.247 0.014 0.260
0.513 0.746 0.260
0.764 0.004 0.267
0.003 0.763 0.267
0.360 0.375 0.485
0.625 0.610 0.485
0.621 0.121 0.500
0.879 0.379 0.500
0.121 0.621 0.500
0.379 0.879 0.500
0.125 0.140 0.515
0.890 0.875 0.515
0.737 0.497 0.733
0.496 0.736 0.733
0.486 0.253 0.740
0.754 0.987 0.740
0.996 0.263 0.760
0.264 0.997 0.760
0.254 0.514 0.767
0.013 0.753 0.767
0.625 0.110 0.985
0.860 0.375 0.985
0.451 0.688 0.014
0.064 0.826 0.014
0.174 0.188 0.238
0.564 0.549 0.238
0.576 0.062 0.262
0.186 0.701 0.262
0.686 0.424 0.486
0.299 0.562 0.486
0.938 0.201 0.514
0.076 0.814 0.514
0.799 0.314 0.738
0.438 0.924 0.738
0.312 0.326 0.762
0.951 0.936 0.762
0.812 0.049 0.986
0.674 0.436 0.986
```

=====

Record 12
## HfHgPb (PBE)

Data for HfHgPb after structural relaxation.

Calculated values
Crystal system: tetragonal
Calculated volume in A^3/atom: 23.25
E above lowest polymorph in meV per atom: 0

```
HfHgPb
1.0
3.613 0.000 0.000
0.000 3.613 0.000
0.000 0.000 10.686
Hf Hg Pb
2 2 2
direct
0.000 0.500 0.265
0.500 0.000 0.735
0.500 0.000 0.422
0.000 0.500 0.578
0.500 0.000 0.095
0.000 0.500 0.905
```

=====

Please write out number 4 again, unchanged.
## Dy2HoGa3Si2Ni (PBE)

Data for Dy2HoGa3Si2Ni after structural relaxation.

Calculated values
Crystal system: orthorhombic
Calculated volume in A^3/atom: 18.77
Electronic total energy in eV/atom: -5.06

```
Dy2HoGa3Si2Ni
1.0
4.143 0.000 0.000
0.000 5.940 3.433
0.000 -5.940 3.433
Dy Ga Ho Ni Si
2 3 1 1 2
direct
0.000 0.000 0.596
0.000 0.596 0.000
0.500 0.236 0.000
0.500 0.000 0.236
0.500 0.764 0.764
0.000 0.403 0.403
0.000 0.001 0.001
0.500 0.666 0.334
0.500 0.334 0.666
```